Entry 1:
Entry from Alexandria: a relaxed structure of ScBeRu (GGA-PBE).

Output
Mass density = 4.9 g/cm³
Symmetry = F-43m (216)
Fermi-level density of states = 2.42 states/eV/cell
Energy above the lowest structure with this stoichiometry = 25.931 kcal/mol of atoms
Spin magnetization = 0.00 Bohr magnetons per cell

```
data_ScBeRu
_cell_length_a 4.209
_cell_length_b 4.209
_cell_length_c 4.209
_cell_angle_alpha 60.00
_cell_angle_beta 60.00
_cell_angle_gamma 60.00
_symmetry_space_group_name_H-M 'P 1'
_symmetry_Int_Tables_number 1
_symmetry_space_group_name_Hall 'P 1'
loop_
_atom_site_label
_atom_site_fract_x
_atom_site_fract_y
_atom_site_fract_z
Sc1 0.000 0.000 0.000
Be1 0.750 0.750 0.750
Ru1 0.250 0.250 0.250
```

Entry 2:
Entry from Alexandria: a relaxed structure of Sc2BeRu (GGA-PBE).

Output
Mass density = 4.8 g/cm³
Symmetry = I-42d (122)
Fermi-level density of states = 6.87 states/eV/cell
Total DFT energy (no corrections) = -6.238 eV/atom
Spin magnetization = 0.00 Bohr magnetons per cell

```
data_Sc2BeRu
_cell_length_a 5.731
_cell_length_b 5.731
_cell_length_c 5.731
_cell_angle_alpha 103.06
_cell_angle_beta 103.06
_cell_angle_gamma 123.23
_symmetry_space_group_name_H-M 'P 1'
_symmetry_Int_Tables_number 1
_symmetry_space_group_name_Hall 'P 1'
loop_
_atom_site_label
_atom_site_fract_x
_atom_site_fract_y
_atom_site_fract_z
Sc1 0.114 0.125 0.489
Sc2 0.375 0.886 0.011
Sc3 0.636 0.625 0.511
Sc4 0.875 0.364 0.989
Be1 0.250 0.750 0.500
Be2 0.500 0.500 0.000
Ru1 0.000 0.000 0.000
Ru2 0.750 0.250 0.500
```

Entry 3:
Entry from Alexandria: a relaxed structure of Sc2BeRu (GGA-PBE).

Output
Mass density = 5.1 g/cm³
Symmetry = P4/mmm (123)
Fermi-level density of states = 1.47 states/eV/cell
Total DFT energy (no corrections) = -6.749 eV/atom
Spin magnetization = 0.00 Bohr magnetons per cell

```
data_Sc2BeRu
_cell_length_a 4.462
_cell_length_b 4.462
_cell_length_c 3.291
_cell_angle_alpha 90.00
_cell_angle_beta 90.00
_cell_angle_gamma 90.00
_symmetry_space_group_name_H-M 'P 1'
_symmetry_Int_Tables_number 1
_symmetry_space_group_name_Hall 'P 1'
loop_
_atom_site_label
_atom_site_fract_x
_atom_site_fract_y
_atom_site_fract_z
Sc1 0.000 0.500 0.000
Sc2 0.500 0.000 0.000
Be1 0.000 0.000 0.500
Ru1 0.500 0.500 0.500
```

Entry 4:
Entry from Alexandria: a relaxed structure of ScBe2Ru (GGA-PBE).

Output
Mass density = 5.0 g/cm³
Symmetry = C2/m (12)
Fermi-level density of states = 1.93 states/eV/cell
Energy above the lowest structure with this stoichiometry = 0.993 kcal/mol of atoms
Spin magnetization = 0.00 Bohr magnetons per cell

```
data_ScBe2Ru
_cell_length_a 4.273
_cell_length_b 4.273
_cell_length_c 4.493
_cell_angle_alpha 109.18
_cell_angle_beta 109.18
_cell_angle_gamma 45.32
_symmetry_space_group_name_H-M 'P 1'
_symmetry_Int_Tables_number 1
_symmetry_space_group_name_Hall 'P 1'
loop_
_atom_site_label
_atom_site_fract_x
_atom_site_fract_y
_atom_site_fract_z
Sc1 0.000 0.000 0.000
Be1 0.225 0.225 0.632
Be2 0.775 0.775 0.368
Ru1 0.500 0.500 0.500
```

Entry 5:
Entry from Alexandria: a relaxed structure of ScBe2Ru2 (GGA-PBE).

Output
Mass density = 7.1 g/cm³
Symmetry = P4/mbm (127)
Fermi-level density of states = 12.02 states/eV/cell
Energy above the lowest structure with this stoichiometry = 0.000 kcal/mol of atoms
Spin magnetization = 0.01 Bohr magnetons per cell

```
data_ScBe2Ru2
_cell_length_a 6.350
_cell_length_b 6.350
_cell_length_c 3.089
_cell_angle_alpha 90.00
_cell_angle_beta 90.00
_cell_angle_gamma 90.00
_symmetry_space_group_name_H-M 'P 1'
_symmetry_Int_Tables_number 1
_symmetry_space_group_name_Hall 'P 1'
loop_
_atom_site_label
_atom_site_fract_x
_atom_site_fract_y
_atom_site_fract_z
Sc1 0.000 0.000 0.000
Sc2 0.500 0.500 0.000
Be1 0.116 0.384 0.000
Be2 0.384 0.884 0.000
Be3 0.616 0.116 0.000
Be4 0.884 0.616 0.000
Ru1 0.170 0.670 0.500
Ru2 0.330 0.170 0.500
Ru3 0.670 0.830 0.500
Ru4 0.830 0.330 0.500
```

Entry 6:
Entry from Alexandria: a relaxed structure of Sc5BeRu4 (GGA-PBE).

Output
Mass density = 6.4 g/cm³
Symmetry = P4/mmm (123)
Fermi-level density of states = 7.43 states/eV/cell
Total DFT energy (no corrections) = -7.719 eV/atom
Spin magnetization = 0.00 Bohr magnetons per cell

```
data_Sc5BeRu4
_cell_length_a 3.239
_cell_length_b 3.239
_cell_length_c 15.780
_cell_angle_alpha 90.00
_cell_angle_beta 90.00
_cell_angle_gamma 90.00
_symmetry_space_group_name_H-M 'P 1'
_symmetry_Int_Tables_number 1
_symmetry_space_group_name_Hall 'P 1'
loop_
_atom_site_label
_atom_site_fract_x
_atom_site_fract_y
_atom_site_fract_z
Sc1 0.000 0.000 0.000
Sc2 0.000 0.000 0.200
Sc3 0.000 0.000 0.399
Sc4 0.000 0.000 0.601
Sc5 0.000 0.000 0.800
Be1 0.500 0.500 0.500
Ru1 0.500 0.500 0.102
Ru2 0.500 0.500 0.308
Ru3 0.500 0.500 0.692
Ru4 0.500 0.500 0.898
```

Entry 7:
Entry from Alexandria: a relaxed structure of Sc2BeRu (GGA-PBE).

Output
Mass density = 5.3 g/cm³
Symmetry = F-43m (216)
Fermi-level density of states = 5.29 states/eV/cell
Total DFT energy (no corrections) = -6.515 eV/atom
Spin magnetization = 0.00 Bohr magnetons per cell

```
data_Sc2BeRu
_cell_length_a 4.463
_cell_length_b 4.463
_cell_length_c 4.463
_cell_angle_alpha 60.00
_cell_angle_beta 60.00
_cell_angle_gamma 60.00
_symmetry_space_group_name_H-M 'P 1'
_symmetry_Int_Tables_number 1
_symmetry_space_group_name_Hall 'P 1'
loop_
_atom_site_label
_atom_site_fract_x
_atom_site_fract_y
_atom_site_fract_z
Sc1 0.000 0.000 0.000
Sc2 0.250 0.250 0.250
Be1 0.750 0.750 0.750
Ru1 0.500 0.500 0.500
```

Entry 8:
Entry from Alexandria: a relaxed structure of ScBe2Ru (GGA-PBE).

Output
Mass density = 4.9 g/cm³
Symmetry = R-3m (166)
Fermi-level density of states = 2.53 states/eV/cell
Energy above the lowest structure with this stoichiometry = 2.395 kcal/mol of atoms
Spin magnetization = 0.00 Bohr magnetons per cell

```
data_ScBe2Ru
_cell_length_a 5.000
_cell_length_b 5.000
_cell_length_c 5.000
_cell_angle_alpha 44.45
_cell_angle_beta 44.45
_cell_angle_gamma 44.45
_symmetry_space_group_name_H-M 'P 1'
_symmetry_Int_Tables_number 1
_symmetry_space_group_name_Hall 'P 1'
loop_
_atom_site_label
_atom_site_fract_x
_atom_site_fract_y
_atom_site_fract_z
Sc1 0.000 0.000 0.000
Be1 0.204 0.204 0.204
Be2 0.796 0.796 0.796
Ru1 0.500 0.500 0.500
```

Entry 9:
Entry from Alexandria: a relaxed structure of ScBe2Ru (GGA-PBE).

Output
Mass density = 4.4 g/cm³
Symmetry = I-42d (122)
Fermi-level density of states = 3.76 states/eV/cell
Energy above the lowest structure with this stoichiometry = 10.417 kcal/mol of atoms
Spin magnetization = 0.00 Bohr magnetons per cell

```
data_ScBe2Ru
_cell_length_a 8.456
_cell_length_b 8.456
_cell_length_c 8.456
_cell_angle_alpha 152.93
_cell_angle_beta 152.93
_cell_angle_gamma 38.65
_symmetry_space_group_name_H-M 'P 1'
_symmetry_Int_Tables_number 1
_symmetry_space_group_name_Hall 'P 1'
loop_
_atom_site_label
_atom_site_fract_x
_atom_site_fract_y
_atom_site_fract_z
Sc1 0.000 0.000 0.000
Sc2 0.750 0.250 0.500
Be1 0.363 0.625 0.238
Be2 0.375 0.613 0.738
Be3 0.387 0.125 0.762
Be4 0.875 0.637 0.262
Ru1 0.250 0.750 0.500
Ru2 0.500 0.500 0.000
```

Entry 10:
Entry from Alexandria: a relaxed structure of ScBe2Ru2 (GGA-PBE).

Output
Mass density = 6.3 g/cm³
Symmetry = I4/mmm (139)
Fermi-level density of states = 4.50 states/eV/cell
Energy above the lowest structure with this stoichiometry = 7.405 kcal/mol of atoms
Spin magnetization = 0.00 Bohr magnetons per cell

```
data_ScBe2Ru2
_cell_length_a 5.208
_cell_length_b 5.208
_cell_length_c 5.208
_cell_angle_alpha 134.80
_cell_angle_beta 134.80
_cell_angle_gamma 65.84
_symmetry_space_group_name_H-M 'P 1'
_symmetry_Int_Tables_number 1
_symmetry_space_group_name_Hall 'P 1'
loop_
_atom_site_label
_atom_site_fract_x
_atom_site_fract_y
_atom_site_fract_z
Sc1 0.000 0.000 0.000
Be1 0.250 0.750 0.500
Be2 0.750 0.250 0.500
Ru1 0.364 0.364 0.000
Ru2 0.636 0.636 0.000
```

Entry 11:
Entry from Alexandria: a relaxed structure of ScBe9Ru2 (GGA-PBE).

Output
Mass density = 4.6 g/cm³
Symmetry = P6_3/mmc (194)
Fermi-level density of states = 7.85 states/eV/cell
Total DFT energy (no corrections) = -5.194 eV/atom
Spin magnetization = 0.00 Bohr magnetons per cell

```
data_ScBe9Ru2
_cell_length_a 4.397
_cell_length_b 4.397
_cell_length_c 14.025
_cell_angle_alpha 90.00
_cell_angle_beta 90.00
_cell_angle_gamma 120.00
_symmetry_space_group_name_H-M 'P 1'
_symmetry_Int_Tables_number 1
_symmetry_space_group_name_Hall 'P 1'
loop_
_atom_site_label
_atom_site_fract_x
_atom_site_fract_y
_atom_site_fract_z
Sc1 0.333 0.667 0.250
Sc2 0.667 0.333 0.750
Be1 0.000 0.000 0.000
Be2 0.000 0.000 0.250
Be3 0.000 0.000 0.500
Be4 0.000 0.000 0.750
Be5 0.170 0.340 0.619
Be6 0.170 0.340 0.881
Be7 0.170 0.830 0.619
Be8 0.170 0.830 0.881
Be9 0.333 0.667 0.750
Be10 0.340 0.170 0.119
Be11 0.340 0.170 0.381
Be12 0.660 0.830 0.619
Be13 0.660 0.830 0.881
Be14 0.667 0.333 0.250
Be15 0.830 0.170 0.119
Be16 0.830 0.170 0.381
Be17 0.830 0.660 0.119
Be18 0.830 0.660 0.381
Ru1 0.333 0.667 0.036
Ru2 0.333 0.667 0.464
Ru3 0.667 0.333 0.536
Ru4 0.667 0.333 0.964
```

Entry 12:
Entry from Alexandria: a relaxed structure of ScBeRu (GGA-PBE).

Output
Mass density = 5.8 g/cm³
Symmetry = Cmcm (63)
Fermi-level density of states = 2.59 states/eV/cell
Energy above the lowest structure with this stoichiometry = 0.000 kcal/mol of atoms
Spin magnetization = 0.00 Bohr magnetons per cell

```
data_ScBeRu
_cell_length_a 5.215
_cell_length_b 5.215
_cell_length_c 5.470
_cell_angle_alpha 90.00
_cell_angle_beta 90.00
_cell_angle_gamma 143.14
_symmetry_space_group_name_H-M 'P 1'
_symmetry_Int_Tables_number 1
_symmetry_space_group_name_Hall 'P 1'
loop_
_atom_site_label
_atom_site_fract_x
_atom_site_fract_y
_atom_site_fract_z
Sc1 0.206 0.794 0.750
Sc2 0.794 0.206 0.250
Be1 0.500 0.500 0.000
Be2 0.500 0.500 0.500
Ru1 0.080 0.920 0.250
Ru2 0.920 0.080 0.750
```